Here is a geometry-optimized CeBePd2 structure from Alexandria. Energies are from PBE-GGA.

Properties
Formation energy from the elements: -1.2 eV/f.u.

Unit cell a=2.9992 b=2.9992 c=25.0171 alpha=90.00 beta=90.00 gamma=120.00
Space group R-3m (No. 166, hexagonal axes)
Unique sites:
Ce (0.0000, 0.0000, 0.0000) (multiplicity 3)
Be (0.0000, 0.0000, 0.5000) (multiplicity 3)
Pd (0.0000, 0.0000, 0.2273) (multiplicity 6)

Here is a geometry-optimized Ac7Ir3Pt structure from Alexandria. Energies are from PBE-GGA.

Properties
Formation energy from the elements: -5.7 eV/f.u.

Unit cell a=9.642 b=11.253 c=7.425 alpha=90.00 beta=111.97 gamma=90.00
Space group C2/m (No. 12)
Unique sites:
Ac (0.000, 0.000, 0.000) (multiplicity 2)
Ac (0.156, 0.287, 0.732) (multiplicity 8)
Ac (0.164, 0.500, 0.247) (multiplicity 4)
Ir (0.000, 0.275, 0.000) (multiplicity 4)
Ir (0.000, 0.500, 0.500) (multiplicity 2)
Pt (0.000, 0.000, 0.500) (multiplicity 2)

Here is a geometry-optimized CePaTe2O structure from Alexandria. Energies are from PBE-GGA.

Properties
ΔE_f (raw): -8.942 eV/f.u.

Unit cell a=4.167 b=4.167 c=14.648 alpha=90.00 beta=90.00 gamma=90.00
Space group P4/nmm (No. 129, origin choice 2)
Unique sites:
Ce (0.250, 0.250, 0.079) (multiplicity 2)
Pa (0.250, 0.250, 0.587) (multiplicity 2)
Te (0.250, 0.250, 0.370) (multiplicity 2)
Te (0.250, 0.250, 0.802) (multiplicity 2)
O (0.250, 0.750, 0.000) (multiplicity 2)

Here is a geometry-optimized Pr4Nd3ThTe8 structure from Alexandria. Energies are from PBE-GGA.

Properties
ΔE_f (raw): -21.969 eV/f.u.

Unit cell a=9.0285 b=9.0285 c=22.0835 alpha=90.00 beta=90.00 gamma=120.00
Space group R-3m (No. 166, hexagonal axes)
Unique sites:
Pr (0.0000, 0.0000, 0.0000) (multiplicity 3)
Pr (0.0000, 0.5000, 0.0000) (multiplicity 9)
Nd (0.0000, 0.5000, 0.5000) (multiplicity 9)
Th (0.0000, 0.0000, 0.5000) (multiplicity 3)
Te (0.0000, 0.0000, 0.2491) (multiplicity 6)
Te (0.0006, 0.5003, 0.2490) (multiplicity 18)

Here is a geometry-optimized SrPtF3 structure from Alexandria. Energies are from PBE-GGA.

Properties
ΔE_f (raw): -8.560 eV/f.u.

Unit cell a=4.489 b=4.489 c=4.489 alpha=90.00 beta=90.00 gamma=90.00
Space group Pm-3m (No. 221)
Unique sites:
Sr (0.000, 0.000, 0.000) (multiplicity 1)
Pt (0.500, 0.500, 0.500) (multiplicity 1)
F (0.000, 0.500, 0.500) (multiplicity 3)

Here is a geometry-optimized Cu2HgN structure from Alexandria. Energies are from PBE-GGA.

Properties
Excess energy over the best structure of this formula in the dataset: 0.000 eV per atom
ΔE_f (raw): 1.513 eV/f.u.

Unit cell a=4.983 b=4.983 c=10.882 alpha=90.00 beta=90.00 gamma=90.00
Space group I4_1/amd (No. 141, origin choice 2)
Unique sites:
Cu (0.000, 0.000, 0.000) (multiplicity 8)
Hg (0.000, 0.250, 0.375) (multiplicity 4)
N (0.000, 0.250, 0.875) (multiplicity 4)

Here is a geometry-optimized IrC2 structure from Alexandria. Energies are from PBE-GGA.

Properties
Excess energy over the best structure of this formula in the dataset: 0.012 eV per atom
Formation energy from the elements: 1.8 eV/f.u.

Unit cell a=2.5139 b=2.5139 c=8.6256 alpha=90.00 beta=90.00 gamma=120.00
Space group P6/mmm (No. 191)
Unique sites:
Ir (0.0000, 0.0000, 0.0000) (multiplicity 1)
C (0.3333, 0.6667, 0.5000) (multiplicity 2)

Here is a geometry-optimized TaCdIr structure from Alexandria. Energies are from PBE-GGA.

Properties
Excess energy over the best structure of this formula in the dataset: 0.061 eV per atom
Formation energy from the elements: -0.2 eV/f.u.

Unit cell a=2.931 b=3.987 c=8.870 alpha=90.00 beta=90.00 gamma=90.00
Space group Imm2 (No. 44)
Unique sites:
Ta (0.000, 0.000, 0.000) (multiplicity 2)
Cd (0.000, 0.000, 0.681) (multiplicity 2)
Ir (0.000, 0.000, 0.356) (multiplicity 2)

Here is a geometry-optimized La4PrPb2 structure from Alexandria. Energies are from PBE-GGA.

Properties
Excess energy over the best structure of this formula in the dataset: 0.225 eV per atom
Formation energy from the elements: -0.3 eV/f.u.

Unit cell a=6.165 b=6.165 c=13.028 alpha=90.00 beta=90.00 gamma=90.00
Space group I4/mmm (No. 139)
Unique sites:
La (0.000, 0.500, 0.000) (multiplicity 4)
La (0.000, 0.500, 0.250) (multiplicity 4)
Pr (0.000, 0.000, 0.000) (multiplicity 2)
Pb (0.000, 0.000, 0.370) (multiplicity 4)

Here is a geometry-optimized PClO structure from Alexandria. Energies are from PBE-GGA.

Properties
ΔE_f (raw): -1.794 eV/f.u.

Unit cell a=12.796 b=2.673 c=8.350 alpha=90.00 beta=118.28 gamma=90.00
Space group C2/m (No. 12)
Unique sites:
P (0.096, 0.000, 0.148) (multiplicity 4)
Cl (0.204, 0.000, 0.723) (multiplicity 4)
O (0.055, 0.500, 0.230) (multiplicity 4)

Here is a geometry-optimized RbGd2Pa structure from Alexandria. Energies are from PBE-GGA.

Properties
Formation energy from the elements: 4.0 eV/f.u.

Unit cell a=4.2721 b=4.2721 c=33.1622 alpha=90.00 beta=90.00 gamma=120.00
Space group R-3m (No. 166, hexagonal axes)
Unique sites:
Rb (0.0000, 0.0000, 0.0000) (multiplicity 3)
Gd (0.0000, 0.0000, 0.1183) (multiplicity 6)
Pa (0.0000, 0.0000, 0.5000) (multiplicity 3)

Here is a geometry-optimized Ba3Sr3In2Hg structure from Alexandria. Energies are from PBE-GGA.

Properties
Formation energy from the elements: -2.5 eV/f.u.

Unit cell a=9.8813 b=9.8813 c=4.5869 alpha=90.00 beta=90.00 gamma=120.00
Space group P-62m (No. 189)
Unique sites:
Ba (0.0000, 0.7409, 0.0000) (multiplicity 3)
Sr (0.0000, 0.4076, 0.5000) (multiplicity 3)
In (0.3333, 0.6667, 0.0000) (multiplicity 2)
Hg (0.0000, 0.0000, 0.5000) (multiplicity 1)

no.,size of the total moment (μB/cell)
1,1.4
2,0.0
3,1.3
4,0.0
5,0.0
6,0.0
7,0.4
8,0.0
9,1.5
10,0.4
11,46.4
12,0.0